(1)
A plane-wave DFT calculation with PBE was carried out for a relaxed structure of Er2BRu2.

density	10.3	g/cm3
space-group type	No. 15
total moment	0.00	μB/f.u.
volume	175.8	Å³/cell

Structure (POSCAR):
```
Er2BRu2
1.0
6.0511 0.4730 -0.0666
3.1564 5.1843 -0.0666
1.2740 0.7828 5.8663
Er B Ru
4 2 4
Cartesian
3.8677 1.4936 0.6225
6.7644 3.2734 2.1775
6.6139 4.9464 5.1106
3.7172 3.1667 3.5557
3.6666 5.0680 1.4000
6.8149 1.3720 4.3331
8.3845 5.9506 2.9872
2.0212 2.0409 5.6791
2.0970 0.4894 2.7460
8.4603 4.3991 0.0540
```

(2)
A plane-wave DFT calculation with PBE was carried out for a relaxed structure of Na3Ce2CdS6.

density	3.8	g/cm3
space-group type	No. 12
total moment	1.03	μB/f.u.
volume	282.5	Å³/cell

Structure (POSCAR):
```
Na3Ce2CdS6
1.0
6.9842 0.0019 0.0021
-3.4887 6.0505 0.0021
-1.1642 -2.0158 6.6827
Na Ce Cd S
3 2 1 6
Cartesian
-2.3636 4.0566 3.3434
4.6949 -0.0200 3.3434
1.1656 2.0183 3.3434
-0.0015 4.0365 0.0021
3.4970 2.0159 0.0021
0.0000 0.0000 0.0000
3.5013 2.0051 5.1421
2.3215 4.0197 1.5460
-1.1700 2.0315 1.5447
-0.0131 4.0348 5.1421
0.0098 0.0169 5.1409
2.3444 0.0018 1.5447
```

(3)
A plane-wave DFT calculation with PBE was carried out for a relaxed structure of AcMgGa2.

density	6.3	g/cm3
space-group type	No. 166
total moment	0.00	μB/f.u.
volume	103.0	Å³/cell

Structure (POSCAR):
```
AcMgGa2
1.0
4.5945 0.0000 0.0000
2.2972 3.9789 0.0000
2.2972 1.3263 5.6343
Ac Mg Ga
1 1 2
Cartesian
4.5945 2.6526 2.8172
0.0000 0.0000 0.0000
2.2972 1.3263 0.8051
6.8917 3.9789 4.8292
```

Short version: final energy = -0.267 -0.181 -0.123 hartree per atom, in the order given.